1.
CdRh2 after structural relaxation. Source: the Alexandria database, functional PBE.

a b c (Å): 6.2685 6.2685 6.2685
angles (deg): 153.79 153.79 37.40
Closest atoms and distances in Å follow each position.
Element x y z (fractional)
Cd 0.5000 0.5000 0.0000  4 Cd 2.84, 8 Rh 2.91
Rh 0.8227 0.8227 0.0000  8 Rh 2.65-2.84, 4 Cd 2.91
Rh 0.1773 0.1773 0.0000  8 Rh 2.65-2.84, 4 Cd 2.91

Computed properties:
energy of formation from the pure elements = -0.006 eV per atom
theoretical density = 11.01 Mg/m³
symmetry = I4/mmm, No. 139
electronic total energy = -15.64 eV per formula unit

=====

2.
PuCu6Pt6 after structural relaxation. Source: the Alexandria database, functional PBE.

a b c (Å): 5.0195 6.6907 6.6907
angles (deg): 83.22 67.97 67.97
Closest atoms and distances in Å follow each position.
Element x y z (fractional)
Pu 0.0000 0.0000 0.0000  8 Pt 2.95-3.06, 4 Cu 3.26
Pt 0.6589 0.3411 0.3411  6 Cu 2.67-2.74, 3 Pt 2.75-2.80, 1 Pu 2.95
Pt 0.0000 0.3448 0.6552  6 Cu 2.64-2.70, 1 Pt 2.76
Pt 0.3411 0.6589 0.6589  6 Cu 2.67-2.74, 3 Pt 2.75-2.80, 1 Pu 2.95
Pt 0.3027 0.1973 0.1973  6 Cu 2.59-2.69, 2 Pt 2.80
Pt 0.6973 0.8027 0.8027  6 Cu 2.59-2.69, 2 Pt 2.80
Pt 0.0000 0.6552 0.3448  6 Cu 2.64-2.70, 1 Pt 2.76
Cu 0.5000 0.5000 0.0000  4 Cu 2.51, 6 Pt 2.59-2.67
Cu 0.5000 0.2336 0.7664  4 Cu 2.51, 6 Pt 2.69-2.74
Cu 0.0000 0.5000 0.0000  4 Cu 2.51, 6 Pt 2.59-2.67
Cu 0.5000 0.0000 0.5000  4 Cu 2.51, 6 Pt 2.59-2.67
Cu 0.0000 0.0000 0.5000  4 Cu 2.51, 6 Pt 2.59-2.67
Cu 0.5000 0.7664 0.2336  4 Cu 2.51, 6 Pt 2.69-2.74

Computed properties:
energy of formation from the pure elements = -0.285 eV per atom
theoretical density = 15.45 Mg/m³
symmetry = Immm, No. 71
electronic total energy = -78.86 eV per formula unit

=====

3.
DyY3Ho2Te6 after structural relaxation. Source: the Alexandria database, functional PBE.

a b c (Å): 4.3348 8.7503 9.7343
angles (deg): 103.07 102.87 90.00
Closest atoms and distances in Å follow each position.
Element x y z (fractional)
Y 0.1659 0.8324 0.3317  6 Te 3.08-3.09
Y 0.8341 0.1676 0.6683  6 Te 3.08-3.09
Y 0.5000 0.5000 0.0000  6 Te 3.08-3.09
Te 0.3325 0.4190 0.6650  3 Ho 3.07, 3 Y 3.09
Te 0.3331 0.9158 0.6663  2 Ho 3.07, 1 Dy 3.08, 3 Y 3.09
Te 0.9993 0.7502 0.9986  1 Ho 3.05, 3 Y 3.08, 2 Dy 3.08
Te 0.6675 0.5810 0.3350  3 Ho 3.07, 3 Y 3.09
Te 0.0007 0.2498 0.0014  1 Ho 3.05, 3 Y 3.08, 2 Dy 3.08
Te 0.6669 0.0842 0.3337  2 Ho 3.07, 1 Dy 3.08, 3 Y 3.09
Ho 0.1661 0.3316 0.3323  6 Te 3.05-3.07
Ho 0.8339 0.6684 0.6677  6 Te 3.05-3.07
Dy 0.5000 0.0000 0.0000  6 Te 3.08

Computed properties:
E_form (uncorrected) = -1283.2 meV/atom
theoretical density = 7.23 Mg/m³
symmetry = C2/m, No. 12
electronic total energy = -67.40 eV per formula unit

=====

4.
LaPd3N after structural relaxation. Source: the Alexandria database, functional PBE.

a b c (Å): 5.2424 5.2424 5.2424
angles (deg): 90.00 90.00 90.00
Closest atoms and distances in Å follow each position.
Element x y z (fractional)
Pd 0.5000 0.0000 0.0000  2 La 2.62
Pd 0.0000 0.0000 0.5000  2 La 2.62
Pd 0.0000 0.5000 0.0000  2 La 2.62
N 0.5000 0.5000 0.5000  12 Pd 3.71
La 0.0000 0.0000 0.0000  6 Pd 2.62

Computed properties:
E_form (uncorrected) = 1619.1 meV/atom
theoretical density = 5.44 Mg/m³
symmetry = Pm-3m, No. 221
electronic total energy = -20.74 eV per formula unit

=====

5.
Zr2BeNi after structural relaxation. Source: the Alexandria database, functional PBE.

a b c (Å): 3.9414 3.2993 5.3392
angles (deg): 71.72 90.00 90.00
Closest atoms and distances in Å follow each position.
Element x y z (fractional)
Ni 0.5000 0.5599 0.7555  2 Be 2.40, 1 Zr 2.68
Zr 0.0000 0.9759 0.9214  4 Ni 2.70, 3 Be 2.75-2.86
Zr 0.5000 0.2691 0.3378  4 Be 2.67-2.68, 3 Ni 2.68-2.95
Be 0.0000 0.6951 0.4854  2 Ni 2.40, 4 Zr 2.67-2.68

Computed properties:
energy of formation from the pure elements = -0.261 eV per atom
theoretical density = 6.30 Mg/m³
symmetry = Pm, No. 6
electronic total energy = -27.65 eV per formula unit

=====

6.
BaCaLuMg after structural relaxation. Source: the Alexandria database, functional PBE.

a b c (Å): 5.9030 5.9030 5.9030
angles (deg): 60.00 60.00 60.00
Closest atoms and distances in Å follow each position.
Element x y z (fractional)
Lu 0.2500 0.2500 0.2500  4 Mg 3.61, 4 Ca 3.61
Ca 0.0000 0.0000 0.0000  4 Ba 3.61, 4 Lu 3.61
Mg 0.5000 0.5000 0.5000  4 Lu 3.61, 4 Ba 3.61
Ba 0.7500 0.7500 0.7500  4 Mg 3.61, 4 Ca 3.61

Computed properties:
energy of formation from the pure elements = 0.175 eV per atom
theoretical density = 4.30 Mg/m³
symmetry = F-43m, No. 216
electronic total energy = -9.34 eV per formula unit

=====

7.
Ac4PuTe7 after structural relaxation. Source: the Alexandria database, functional PBE.

a b c (Å): 4.6034 8.0339 13.7039
angles (deg): 104.47 90.00 106.65
Closest atoms and distances in Å follow each position.
Element x y z (fractional)
Te 0.0419 0.0837 0.7676  1 Pu 3.18, 3 Ac 3.27-3.34
Te 0.2718 0.5436 0.6551  2 Pu 3.19, 3 Ac 3.37-3.47
Te 0.7306 0.4612 0.3550  1 Pu 3.22, 4 Ac 3.34-3.49
Te 0.9663 0.9326 0.2147  4 Ac 3.25-3.29
Te 0.6683 0.3365 0.0537  5 Ac 3.33-3.52
Te 0.4677 0.9355 0.4752  2 Pu 3.16, 2 Ac 3.30
Te 0.3445 0.6891 0.9574  5 Ac 3.34-3.61
Ac 0.7047 0.4095 0.8105  7 Te 3.34-3.52
Ac 0.0066 0.0133 0.9931  6 Te 3.25-3.34
Ac 0.1089 0.2178 0.4366  6 Te 3.25-3.37
Ac 0.3121 0.6243 0.2093  7 Te 3.29-3.61
Pu 0.8765 0.7529 0.5718  6 Te 3.16-3.22

Computed properties:
E_form (uncorrected) = -1463.6 meV/atom
theoretical density = 7.24 Mg/m³
symmetry = Cm, No. 8
electronic total energy = -70.32 eV per formula unit

=====

8.
Pr4P3 after structural relaxation. Source: the Alexandria database, functional PBE.

a b c (Å): 4.1901 4.1901 13.6597
angles (deg): 81.18 81.18 60.00
Closest atoms and distances in Å follow each position.
Element x y z (fractional)
Pr 0.3744 0.3744 0.8768  6 P 2.93-3.02
Pr 0.1236 0.1236 0.6291  3 P 2.86
Pr 0.6256 0.6256 0.1232  6 P 2.93-3.02
Pr 0.8764 0.8764 0.3709  3 P 2.86
P 0.0000 0.0000 0.0000  6 Pr 2.93
P 0.2473 0.2473 0.2581  6 Pr 2.86-3.02
P 0.7527 0.7527 0.7419  6 Pr 2.86-3.02

Computed properties:
energy of formation from the pure elements = -1.283 eV per atom
theoretical density = 5.33 Mg/m³
symmetry = R-3m, No. 166
electronic total energy = -44.33 eV per formula unit

=====

- Which value of electronic total energy does entry 8 give?
  -44.33 eV per formula unit

=====

- Which of these has the highest electronic total energy?
  BaCaLuMg

=====

- Look up the theoretical density of the eighth one.
  5.33 Mg/m³

=====

- Which of these has the lowest theoretical density?
  BaCaLuMg